Density functional theory data (GGA-PBE) for an optimized crystal structure of NaZrB.

The value obtained for the excess energy over the best structure of this formula in the dataset is 7.77 kcal/mol of atoms. The calculation puts the total energy at -32.86 eV per cell. The calculated formation energy comes out at 3.6 kJ per mole of atoms. The calculation puts the density at 3.269 Mg/m³.

The structure belongs to space group P1 (No. 1); the cell edges are 3.128, 4.674 and 9.335 Å and the angles 85.53°, 80.97° and 70.51°. The inequivalent atoms are Na at (0.000, 0.000, 0.000), Na at (0.404, 0.492, 0.747), Zr at (0.157, 0.455, 0.245), Zr at (0.794, 0.985, 0.454), B at (0.061, 0.407, 0.502) and B at (0.509, 0.542, 0.468).


Density functional theory data (GGA-PBE) for an optimized crystal structure of NaZrB.

The value obtained for the excess energy over the best structure of this formula in the dataset is 8.55 kcal/mol of atoms. The calculation puts the total energy at -32.66 eV per cell. The calculated formation energy comes out at 6.9 kJ per mole of atoms. The calculation puts the density at 3.085 Mg/m³.

The structure belongs to space group P3m1 (No. 156); the cell edges are 3.8373, 3.8373 and 10.5556 Å and the angles 90.00°, 90.00° and 120.00°. The inequivalent atoms are Na at (0.0000, 0.0000, 0.0000), Na at (0.3333, 0.6667, 0.7061), Zr at (0.0000, 0.0000, 0.4407), Zr at (0.3333, 0.6667, 0.2361), B at (0.6667, 0.3333, 0.1704) and B at (0.6667, 0.3333, 0.3384).


Density functional theory data (GGA-PBE) for an optimized crystal structure of NaZrB.

The value obtained for the excess energy over the best structure of this formula in the dataset is 0.00 kcal/mol of atoms. The calculation puts the total energy at -34.88 eV per cell. The calculated formation energy comes out at -28.9 kJ per mole of atoms. The calculation puts the density at 3.317 Mg/m³.

The structure belongs to space group P2_1/m (No. 11); the cell edges are 3.344, 3.112 and 12.137 Å and the angles 90.00°, 97.72° and 90.00°. The inequivalent atoms are Na at (0.184, 0.250, 0.367), Zr at (0.443, 0.250, 0.883) and B at (0.016, 0.250, 0.032).


Density functional theory data (GGA-PBE) for an optimized crystal structure of NaZrB3.

The value obtained for the excess energy over the best structure of this formula in the dataset is 0.00 kcal/mol of atoms. The calculation puts the total energy at -22.52 eV per cell. The calculated formation energy comes out at 142.4 kJ per mole of atoms. The calculation puts the density at 2.609 Mg/m³.

The structure belongs to space group Pm-3m (No. 221); the cell edges are 4.536, 4.536 and 4.536 Å and the angles 90.00°, 90.00° and 90.00°. The inequivalent atoms are Na at (0.000, 0.000, 0.000), Zr at (0.500, 0.500, 0.500) and B at (0.000, 0.500, 0.500).


Density functional theory data (GGA-PBE) for an optimized crystal structure of NaZrB.

The value obtained for the excess energy over the best structure of this formula in the dataset is 19.29 kcal/mol of atoms. The calculation puts the total energy at -59.73 eV per cell. The calculated formation energy comes out at 51.9 kJ per mole of atoms. The calculation puts the density at 4.016 Mg/m³.

The structure belongs to space group F-43m (No. 216); the cell edges are 5.913, 5.913 and 5.913 Å and the angles 90.00°, 90.00° and 90.00°. The inequivalent atoms are Na at (0.000, 0.000, 0.000), Zr at (0.000, 0.000, 0.500) and B at (0.250, 0.250, 0.250).


Density functional theory data (GGA-PBE) for an optimized crystal structure of NaZrB.

The value obtained for the excess energy over the best structure of this formula in the dataset is 12.76 kcal/mol of atoms. The calculation puts the total energy at -63.13 eV per cell. The calculated formation energy comes out at 24.5 kJ per mole of atoms. The calculation puts the density at 3.476 Mg/m³.

The structure belongs to space group Cm (No. 8); the cell edges are 10.825, 3.587 and 7.374 Å and the angles 90.00°, 123.45° and 90.00°. The inequivalent atoms are Na at (0.000, 0.000, 0.000), Na at (0.242, 0.000, 0.946), Zr at (0.108, 0.500, 0.437), Zr at (0.365, 0.000, 0.492), B at (0.241, 0.500, 0.265) and B at (0.410, 0.500, 0.309).


Density functional theory data (GGA-PBE) for an optimized crystal structure of NaZrB.

The value obtained for the excess energy over the best structure of this formula in the dataset is 8.51 kcal/mol of atoms. The calculation puts the total energy at -32.67 eV per cell. The calculated formation energy comes out at 6.7 kJ per mole of atoms. The calculation puts the density at 3.012 Mg/m³.

The structure belongs to space group P1 (No. 1); the cell edges are 3.829, 3.830 and 11.066 Å and the angles 80.32°, 80.18° and 60.02°. The inequivalent atoms are Na at (0.000, 0.000, 0.000), Na at (0.433, 0.442, 0.698), Zr at (0.177, 0.183, 0.465), Zr at (0.577, 0.579, 0.266), B at (0.823, 0.829, 0.527) and B at (0.878, 0.882, 0.363).


Density functional theory data (GGA-PBE) for an optimized crystal structure of NaZrB.

The value obtained for the excess energy over the best structure of this formula in the dataset is 9.81 kcal/mol of atoms. The calculation puts the total energy at -64.66 eV per cell. The calculated formation energy comes out at 12.2 kJ per mole of atoms. The calculation puts the density at 3.283 Mg/m³.

The structure belongs to space group Cm (No. 8); the cell edges are 13.137, 3.058 and 6.425 Å and the angles 90.00°, 101.43° and 90.00°. The inequivalent atoms are Na at (0.000, 0.000, 0.000), Na at (0.008, 0.500, 0.496), Zr at (0.242, 0.500, 0.883), Zr at (0.245, 0.000, 0.366), B at (0.340, 0.000, 0.718) and B at (0.340, 0.500, 0.613).